<i>
{
  "formula": "Na2Ca2Cu",
  "functional": "GGA-PBE",
  "state": "optimized geometry",
  "cell": [[7.5296, 0.0000, 0.0000], [0.0000, 7.5296, 0.0000], [0.0000, 0.0000, 5.5627]],
  "species": ["Na", "Na", "Na", "Na", "Ca", "Ca", "Ca", "Ca", "Cu", "Cu"],
  "frac_coords": [[0.1423, 0.3577, 0.0000], [0.3577, 0.8577, 0.0000], [0.6423, 0.1423, 0.0000], [0.8577, 0.6423, 0.0000], [0.1838, 0.6838, 0.5000], [0.3162, 0.1838, 0.5000], [0.6838, 0.8162, 0.5000], [0.8162, 0.3162, 0.5000], [0.0000, 0.0000, 0.0000], [0.5000, 0.5000, 0.0000]]
}

=====

<ii>
{
  "formula": "Na2Ca2Cu",
  "functional": "GGA-PBE",
  "state": "optimized geometry",
  "cell": [[7.7078, 0.0000, 0.0000], [0.0000, 7.7078, 0.0000], [0.0000, 0.0000, 6.0816]],
  "species": ["Na", "Na", "Na", "Na", "Ca", "Ca", "Ca", "Ca", "Cu", "Cu"],
  "frac_coords": [[0.1598, 0.3402, 0.0000], [0.3402, 0.8402, 0.0000], [0.6598, 0.1598, 0.0000], [0.8402, 0.6598, 0.0000], [0.1703, 0.6703, 0.5000], [0.3297, 0.1703, 0.5000], [0.6703, 0.8297, 0.5000], [0.8297, 0.3297, 0.5000], [0.0000, 0.0000, 0.5000], [0.5000, 0.5000, 0.5000]]
}

=====

Most stable: <ii> (next structure +0.058 eV/atom)

=====

<i>
{
  "formula": "NaSr2CaCu",
  "functional": "GGA-PBE",
  "state": "optimized geometry",
  "cell": [[6.0020, 0.0000, 0.0000], [0.0000, 6.0020, 0.0000], [0.0000, 0.0000, 5.7291]],
  "species": ["Na", "Sr", "Sr", "Ca", "Cu"],
  "frac_coords": [[0.0000, 0.0000, 0.0000], [0.0000, 0.5000, 0.5000], [0.5000, 0.0000, 0.5000], [0.5000, 0.5000, 0.0000], [0.0000, 0.0000, 0.5000]]
}

=====

<ii>
{
  "formula": "NaSr2CaCu",
  "functional": "GGA-PBE",
  "state": "optimized geometry",
  "cell": [[6.0423, 0.0000, 0.0000], [0.0000, 6.0423, 0.0000], [0.0000, 0.0000, 5.7487]],
  "species": ["Na", "Sr", "Sr", "Ca", "Cu"],
  "frac_coords": [[0.0000, 0.0000, 0.0000], [0.0000, 0.5000, 0.5000], [0.5000, 0.0000, 0.5000], [0.5000, 0.5000, 0.0000], [0.5000, 0.5000, 0.5000]]
}

=====

Most stable: <ii> (next structure +0.113 eV/atom)

=====

<i>
{
  "formula": "CaNb3Cu",
  "functional": "GGA-PBE",
  "state": "optimized geometry",
  "cell": [[4.8244, 0.0000, 0.0000], [0.0000, 4.8244, 0.0000], [0.0000, 0.0000, 4.8244]],
  "species": ["Ca", "Nb", "Nb", "Nb", "Cu"],
  "frac_coords": [[0.0000, 0.0000, 0.0000], [0.0000, 0.5000, 0.5000], [0.5000, 0.0000, 0.5000], [0.5000, 0.5000, 0.0000], [0.5000, 0.5000, 0.5000]]
}

=====

<ii>
{
  "formula": "CaNb3Cu",
  "functional": "GGA-PBE",
  "state": "optimized geometry",
  "cell": [[4.7038, 0.0000, 0.0000], [0.0000, 4.7038, 0.0000], [0.0000, 0.0000, 4.7038]],
  "species": ["Ca", "Nb", "Nb", "Nb", "Cu"],
  "frac_coords": [[0.0000, 0.0000, 0.0000], [0.0000, 0.0000, 0.5000], [0.0000, 0.5000, 0.0000], [0.5000, 0.0000, 0.0000], [0.5000, 0.5000, 0.5000]]
}

=====

Most stable: <i> (next structure +1.350 eV/atom)

=====

<i>
{
  "formula": "Ca3NbCu",
  "functional": "GGA-PBE",
  "state": "optimized geometry",
  "cell": [[5.4563, 0.0000, 0.0000], [0.0000, 5.4563, 0.0000], [0.0000, 0.0000, 5.4563]],
  "species": ["Ca", "Ca", "Ca", "Nb", "Cu"],
  "frac_coords": [[0.0000, 0.0000, 0.5000], [0.0000, 0.5000, 0.0000], [0.5000, 0.0000, 0.0000], [0.5000, 0.5000, 0.5000], [0.0000, 0.0000, 0.0000]]
}

=====

<ii>
{
  "formula": "Ca3NbCu",
  "functional": "GGA-PBE",
  "state": "optimized geometry",
  "cell": [[5.4974, 0.0000, 0.0000], [0.0000, 5.4974, 0.0000], [0.0000, 0.0000, 5.4974]],
  "species": ["Ca", "Ca", "Ca", "Nb", "Cu"],
  "frac_coords": [[0.0000, 0.0000, 0.5000], [0.0000, 0.5000, 0.0000], [0.5000, 0.0000, 0.0000], [0.0000, 0.0000, 0.0000], [0.5000, 0.5000, 0.5000]]
}

=====

Most stable: <i> (next structure +0.442 eV/atom)

=====

<i>
{
  "formula": "CaNb2CuTe",
  "functional": "GGA-PBE",
  "state": "optimized geometry",
  "cell": [[5.0983, 0.0000, 0.0000], [0.0000, 5.0983, 0.0000], [0.0000, 0.0000, 5.6500]],
  "species": ["Ca", "Nb", "Nb", "Cu", "Te"],
  "frac_coords": [[0.0000, 0.0000, 0.0000], [0.0000, 0.5000, 0.5000], [0.5000, 0.0000, 0.5000], [0.5000, 0.5000, 0.0000], [0.0000, 0.0000, 0.5000]]
}

=====

<ii>
{
  "formula": "CaNb2CuTe",
  "functional": "GGA-PBE",
  "state": "optimized geometry",
  "cell": [[5.0000, 0.0000, 0.0000], [0.0000, 5.0000, 0.0000], [0.0000, 0.0000, 4.6453]],
  "species": ["Ca", "Nb", "Nb", "Cu", "Te"],
  "frac_coords": [[0.0000, 0.0000, 0.0000], [0.0000, 0.5000, 0.0000], [0.5000, 0.0000, 0.0000], [0.0000, 0.0000, 0.5000], [0.5000, 0.5000, 0.5000]]
}

=====

Most stable: <i> (next structure +0.693 eV/atom)

=====

<i>
{
  "formula": "CaNdCu",
  "functional": "GGA-PBE",
  "state": "optimized geometry",
  "cell": [[3.8599, 0.0000, 0.0000], [0.0000, 4.5236, 0.0000], [-1.8935, 0.0000, 10.1787]],
  "species": ["Ca", "Ca", "Nd", "Nd", "Cu", "Cu"],
  "frac_coords": [[0.1905, 0.2500, 0.3823], [0.8095, 0.7500, 0.6177], [0.4272, 0.2500, 0.8521], [0.5728, 0.7500, 0.1479], [0.0346, 0.2500, 0.0712], [0.9654, 0.7500, 0.9288]]
}

=====

<ii>
{
  "formula": "CaNdCu",
  "functional": "GGA-PBE",
  "state": "optimized geometry",
  "cell": [[3.6008, 0.0000, 0.0000], [0.0000, 3.6008, 0.0000], [0.0000, 0.0000, 13.0760]],
  "species": ["Ca", "Ca", "Nd", "Nd", "Cu", "Cu"],
  "frac_coords": [[0.0000, 0.0000, 0.0000], [0.5000, 0.5000, 0.5000], [0.0000, 0.0000, 0.2661], [0.5000, 0.5000, 0.7661], [0.0000, 0.0000, 0.6412], [0.5000, 0.5000, 0.1412]]
}

=====

Most stable: <i> (next structure +0.058 eV/atom)